Density functional theory data (GGA-PBEsol) for a relaxed ZrZnCd crystal.

Cell: 3.0996 4.5471 4.5471 Å, 120.00 90.00 90.00°
Atoms (fractional coordinates):
Cd  0.0000  0.0000  0.0000
Zr  0.5000  0.6667  0.3333
Zn  0.0000  0.3333  0.6667

Output
DOS at the Fermi energy: 2.6 states/eV per cell
Total DFT energy (no corrections): -12.4 eV per cell
Calculated volume: 18.5 Å³/atom

---

Density functional theory data (GGA-PBEsol) for a relaxed ZrZnCd2 crystal.

Cell: 3.2252 4.7307 5.7711 Å, 114.20 106.23 90.00°
Atoms (fractional coordinates):
Zr  0.0000  0.5000  0.0000
Zn  0.5000  0.0000  0.0000
Cd  0.2275  0.2275  0.4549
Cd  0.7725  0.7725  0.5451

Output
DOS at the Fermi energy: 3.3 states/eV per cell
Total DFT energy (no corrections): -13.1 eV per cell
Calculated volume: 19.1 Å³/atom

---

Look up the total DFT energy (no corrections) of the first one.
-12.4 eV per cell

---

total DFT energy (no corrections) of number 1 (ZrZnCd)?
-12.4 eV per cell